Record 1
## TmNbBrO4 (PBE)

Data for a relaxed TmNbBrO4 crystal.

Unit cell a=6.976 b=6.976 c=6.905 alpha=76.69 beta=76.69 gamma=54.24
Element x y z (fractional)
O (0.313, 0.313, 0.527)
O (0.539, 0.096, 0.123)
O (0.904, 0.461, 0.877)
O (0.096, 0.539, 0.123)
O (0.687, 0.687, 0.473)
O (0.461, 0.904, 0.877)
O (0.529, 0.529, 0.202)
O (0.471, 0.471, 0.798)
Nb (0.625, 0.625, 0.746)
Nb (0.375, 0.375, 0.254)
Br (0.016, 0.016, 0.328)
Br (0.984, 0.984, 0.672)
Tm (0.291, 0.291, 0.848)
Tm (0.709, 0.709, 0.152)

Calculated values
space-group type	C2/m
total moment	0.0	μB/f.u.
formation energy from raw total energies	-2.532	eV/atom

Record 2
## ZrNbBr2O (PBE)

Data for a relaxed ZrNbBr2O crystal.

Unit cell a=5.388 b=3.770 c=5.388 alpha=90.00 beta=90.00 gamma=90.00
Site moments in Bohr magnetons follow the coordinates.
Element x y z (fractional)
Br (0.000, 0.000, 0.500)  0.01
Br (0.500, 0.000, 0.000)  0.00
Nb (0.000, 0.500, 0.000)  0.86
O (0.000, 0.000, 0.000)  -0.05
Zr (0.500, 0.500, 0.500)  0.16

Calculated values
space-group type	P4/mmm
total moment	1.3	μB/f.u.
formation energy from raw total energies	-0.117	eV/atom

Record 3
## NbOs2Br (PBE)

Data for a relaxed NbOs2Br crystal.

Unit cell a=5.685 b=5.685 c=6.971 alpha=65.94 beta=65.94 gamma=90.00
Element x y z (fractional)
Nb (0.000, 0.000, 0.000)
Nb (0.750, 0.250, 0.500)
Os (0.375, 0.391, 0.750)
Os (0.875, 0.859, 0.750)
Os (0.609, 0.125, 0.250)
Os (0.141, 0.625, 0.250)
Br (0.500, 0.500, 0.000)
Br (0.250, 0.750, 0.500)

Calculated values
space-group type	I-42d
total moment	0.0	μB/f.u.
formation energy from raw total energies	1.390	eV/atom

Record 4
## NbOs2Br (PBE)

Data for a relaxed NbOs2Br crystal.

Unit cell a=4.561 b=4.561 c=4.561 alpha=60.00 beta=60.00 gamma=60.00
Element x y z (fractional)
Br (0.000, 0.000, 0.000)
Nb (0.500, 0.500, 0.500)
Os (0.250, 0.250, 0.250)
Os (0.750, 0.750, 0.750)

Calculated values
space-group type	Fm-3m
total moment	0.0	μB/f.u.
formation energy from raw total energies	1.117	eV/atom

Record 5
## NbOsBr2 (PBE)

Data for a relaxed NbOsBr2 crystal.

Unit cell a=4.611 b=4.611 c=4.611 alpha=60.00 beta=60.00 gamma=60.00
Element x y z (fractional)
Nb (0.000, 0.000, 0.000)
Br (0.250, 0.250, 0.250)
Br (0.750, 0.750, 0.750)
Os (0.500, 0.500, 0.500)

Calculated values
space-group type	Fm-3m
total moment	0.0	μB/f.u.
formation energy from raw total energies	1.115	eV/atom

Record 6
## NbOsBr2 (PBE)

Data for a relaxed NbOsBr2 crystal.

Unit cell a=5.754 b=5.754 c=7.050 alpha=65.92 beta=65.92 gamma=90.00
Site moments in Bohr magnetons follow the coordinates.
Element x y z (fractional)
Br (0.875, 0.891, 0.750)  -0.02
Br (0.641, 0.125, 0.250)  -0.02
Br (0.109, 0.625, 0.250)  -0.02
Br (0.375, 0.359, 0.750)  -0.02
Nb (0.250, 0.750, 0.500)  1.00
Nb (0.500, 0.500, 0.000)  1.01
Os (0.750, 0.250, 0.500)  -0.64
Os (0.000, 0.000, 0.000)  -0.63

Calculated values
space-group type	I-42d
total moment	0.5	μB/f.u.
formation energy from raw total energies	1.330	eV/atom

Record 7
## Nb2OsBr (PBE)

Data for a relaxed Nb2OsBr crystal.

Unit cell a=7.136 b=7.136 c=5.866 alpha=52.53 beta=52.53 gamma=90.00
Element x y z (fractional)
Nb (0.114, 0.625, 0.250)
Nb (0.375, 0.364, 0.750)
Nb (0.636, 0.125, 0.250)
Nb (0.875, 0.886, 0.750)
Br (0.250, 0.750, 0.500)
Br (0.500, 0.500, 0.000)
Os (0.750, 0.250, 0.500)
Os (0.000, 0.000, 0.000)

Calculated values
space-group type	I-42d
total moment	0.0	μB/f.u.
formation energy from raw total energies	0.712	eV/atom

Record 8
## NbOsBr2 (PBE)

Data for a relaxed NbOsBr2 crystal.

Unit cell a=8.892 b=8.892 c=8.892 alpha=20.52 beta=20.52 gamma=20.52
Element x y z (fractional)
Os (0.000, 0.000, 0.000)
Br (0.908, 0.908, 0.908)
Br (0.092, 0.092, 0.092)
Nb (0.500, 0.500, 0.500)

Calculated values
space-group type	R-3m
total moment	0.0	μB/f.u.
formation energy from raw total energies	0.644	eV/atom

Record 9
## Nb2OsBr (PBE)

Data for a relaxed Nb2OsBr crystal.

Unit cell a=4.606 b=4.606 c=4.606 alpha=60.00 beta=60.00 gamma=60.00
Element x y z (fractional)
Os (0.500, 0.500, 0.500)
Nb (0.250, 0.250, 0.250)
Nb (0.750, 0.750, 0.750)
Br (0.000, 0.000, 0.000)

Calculated values
space-group type	Fm-3m
total moment	0.0	μB/f.u.
formation energy from raw total energies	0.528	eV/atom

Record 10
## NbSbOs2Br (PBE)

Data for a relaxed NbSbOs2Br crystal.

Unit cell a=4.821 b=4.821 c=5.218 alpha=90.00 beta=90.00 gamma=90.00
Element x y z (fractional)
Os (0.500, 0.000, 0.000)
Os (0.000, 0.500, 0.000)
Nb (0.500, 0.500, 0.500)
Br (0.000, 0.000, 0.500)
Sb (0.000, 0.000, 0.000)

Calculated values
space-group type	P4/mmm
total moment	0.0	μB/f.u.
formation energy from raw total energies	2.245	eV/atom

Record 11
## NbOsSe2Br (PBE)

Data for a relaxed NbOsSe2Br crystal.

Unit cell a=5.037 b=5.037 c=5.147 alpha=90.00 beta=90.00 gamma=90.00
Site moments in Bohr magnetons follow the coordinates.
Element x y z (fractional)
Se (0.000, 0.500, 0.000)  0.08
Se (0.500, 0.000, 0.000)  0.08
Br (0.000, 0.000, 0.500)  0.07
Os (0.500, 0.500, 0.500)  3.34
Nb (0.000, 0.000, 0.000)  -0.03

Calculated values
space-group type	P4/mmm
total moment	4.2	μB/f.u.
formation energy from raw total energies	1.066	eV/atom

Record 12
## NbOsSe2Br (PBE)

Data for a relaxed NbOsSe2Br crystal.

Unit cell a=4.841 b=4.841 c=5.047 alpha=90.00 beta=90.00 gamma=90.00
Site moments in Bohr magnetons follow the coordinates.
Element x y z (fractional)
Se (0.500, 0.000, 0.000)  -0.18
Se (0.000, 0.500, 0.000)  -0.18
Os (0.000, 0.000, 0.000)  -0.34
Br (0.000, 0.000, 0.500)  -0.04
Nb (0.500, 0.500, 0.500)  2.51

Calculated values
space-group type	P4/mmm
total moment	2.2	μB/f.u.
formation energy from raw total energies	0.986	eV/atom